Run a
Crystalline Tb5CeTl6 at its relaxed geometry. Source: Alexandria, functional GGA-PBE.

Summary:
Space-group type: C2/m (12)

a = 5.4081 Å, b = 9.3892 Å, c = 9.3892 Å
α = 120.21°, β = 106.78°, γ = 106.78°
Last column: magnetic moment on the atom in μB.
Atoms (fractional coordinates):
Tb: 0.5000 0.8367 0.1633  0.03
Tb: 0.0000 0.6677 0.3323  -0.01
Ce: 0.0000 0.0000 0.0000  0.90
Tl: 0.2410 0.7410 0.7410  0.01
Tl: 0.7457 0.9149 0.5763  0.00
Tl: 0.7590 0.2590 0.2590  0.01
Tb: 0.0000 0.3323 0.6677  -0.01
Tl: 0.2543 0.4237 0.0851  0.00
Tl: 0.2543 0.0851 0.4237  0.00
Tb: 0.5000 0.1633 0.8367  0.03
Tb: 0.5000 0.5000 0.5000  0.03
Tl: 0.7457 0.5763 0.9149  0.00


Run b
Crystalline Tb5CeTl6 at its relaxed geometry. Source: Alexandria, functional GGA-PBE.

Summary:
Space-group type: C2/m (12)

a = 6.5993 Å, b = 9.9074 Å, c = 7.5209 Å
α = 48.80°, β = 81.74°, γ = 77.40°
Last column: magnetic moment on the atom in μB.
Atoms (fractional coordinates):
Tl: 0.7457 0.4230 0.6593  0.00
Tl: 0.2557 0.2522 0.0000  0.00
Ce: 0.0000 0.0000 0.0000  0.83
Tl: 0.2543 0.5770 0.3407  0.00
Tb: 0.0000 0.6664 0.6672  -0.01
Tb: 0.5000 0.8361 0.3279  0.01
Tb: 0.0000 0.3336 0.3328  -0.01
Tl: 0.7443 0.7478 0.0000  0.00
Tl: 0.2543 0.9177 0.6593  0.00
Tb: 0.5000 0.5000 0.0000  -0.01
Tb: 0.5000 0.1639 0.6721  0.01
Tl: 0.7457 0.0823 0.3407  0.00


List of relative energies, unit meV/atom: run a 0; run b 105


Run a
Crystalline Tb2CeTl4 at its relaxed geometry. Source: Alexandria, functional GGA-PBE.

Summary:
Space-group type: R-3m (166)

a = 4.9357 Å, b = 4.9357 Å, c = 10.5310 Å
α = 76.45°, β = 76.45°, γ = 60.00°
Last column: magnetic moment on the atom in μB.
Atoms (fractional coordinates):
Tb: 0.8708 0.8708 0.3876  -0.03
Tl: 0.2434 0.2434 0.2699  -0.01
Tl: 0.3843 0.3843 0.8470  0.00
Tl: 0.7566 0.7566 0.7301  -0.01
Tl: 0.6157 0.6157 0.1530  0.00
Tb: 0.1292 0.1292 0.6124  -0.03
Ce: 0.0000 0.0000 0.0000  0.82


Run b
Crystalline Tb2CeTl4 at its relaxed geometry. Source: Alexandria, functional GGA-PBE.

Summary:
Space-group type: P4/mmm (123)

a = 5.2775 Å, b = 5.2775 Å, c = 7.7030 Å
α = 90.00°, β = 90.00°, γ = 90.00°
Last column: magnetic moment on the atom in μB.
Atoms (fractional coordinates):
Tl: 0.5000 0.0000 0.7281  0.01
Tl: 0.0000 0.5000 0.7281  0.01
Ce: 0.5000 0.5000 0.0000  0.98
Tb: 0.0000 0.0000 0.0000  0.26
Tb: 0.5000 0.5000 0.5000  0.05
Tl: 0.5000 0.0000 0.2719  0.01
Tl: 0.0000 0.5000 0.2719  0.01


List of relative energies, unit meV/atom: run a 80; run b 0


Run a
Crystalline Tb3CeTl4 at its relaxed geometry. Source: Alexandria, functional GGA-PBE.

Summary:
Space-group type: P4/mmm (123)

a = 5.4362 Å, b = 7.6325 Å, c = 10.8734 Å
α = 90.00°, β = 90.00°, γ = 90.00°
Last column: magnetic moment on the atom in μB.
Atoms (fractional coordinates):
Tb: 0.0000 0.0000 0.0000  0.01
Tl: 0.0009 0.2439 0.2500  0.00
Tl: 0.5000 0.2439 0.5000  0.00
Tl: 0.9991 0.7561 0.7500  0.00
Tl: 0.5000 0.7561 0.0000  0.00
Tb: 0.5007 0.5000 0.2500  0.09
Tb: 0.4993 0.5000 0.7500  0.09
Tl: 0.5000 0.2439 0.0000  0.00
Tl: 0.0009 0.7561 0.2500  0.00
Ce: 0.0000 0.5000 0.0000  0.92
Ce: 0.0000 0.5000 0.5000  0.92
Tb: 0.0000 0.0000 0.5000  0.01
Tl: 0.9991 0.2439 0.7500  0.00
Tl: 0.5000 0.7561 0.5000  0.00
Tb: 0.4992 0.0000 0.7500  -0.03
Tb: 0.5008 0.0000 0.2500  -0.03


Run b
Crystalline Tb3CeTl4 at its relaxed geometry. Source: Alexandria, functional GGA-PBE.

Summary:
Space-group type: Immm (71)

a = 3.5093 Å, b = 7.3321 Å, c = 10.2077 Å
α = 111.04°, β = 99.90°, γ = 90.00°
Last column: magnetic moment on the atom in μB.
Atoms (fractional coordinates):
Ce: 0.5000 0.0000 0.0000  1.14
Tl: 0.6284 0.4165 0.2569  0.00
Tl: 0.3715 0.1595 0.7431  0.00
Tb: 0.2189 0.2188 0.4377  -0.01
Tl: 0.6285 0.8405 0.2569  0.00
Tb: 0.7811 0.7812 0.5623  -0.01
Tl: 0.3716 0.5835 0.7431  0.00
Tb: 0.0000 0.5000 0.0000  0.01


List of relative energies, unit meV/atom: run a 0; run b 143